Entry 1:
A plane-wave DFT calculation with PBE was carried out for crystalline HoScCuRh at its relaxed geometry.

Summary:
Crystal system: tetragonal
M_tot in μB per cell: 0.0
Fermi-level density of states in states/eV/cell: 3.67
Energy above the most stable polymorph in this dataset in meV/atom: 0.0
Formation energy from the elements in eV per atom: -0.5941

Lattice parameters (Å, degrees): 3.3657 3.3657 6.6088 90.00 90.00 90.00
Fractional coordinates of all 4 atoms:
Rh 0.0000 0.0000 0.8373
Cu 0.0000 0.0000 0.3790
Sc 0.5000 0.5000 0.6101
Ho 0.5000 0.5000 0.1016

---

Entry 2:
A plane-wave DFT calculation with PBE was carried out for crystalline Tl2ZnTe2 at its relaxed geometry.

Summary:
Crystal system: tetragonal
M_tot in μB per cell: 0.0
Energy relative to the elements, uncorrected in eV/atom: 0.05
Fermi-level density of states in states/eV/cell: 0.00
Energy above the most stable polymorph in this dataset in meV/atom: 394.2

Lattice parameters (Å, degrees): 5.6333 5.6333 7.4195 67.69 67.69 90.00
Fractional coordinates of all 5 atoms:
Zn 0.0000 0.0000 0.0000
Tl 0.2500 0.7500 0.5000
Te 0.3873 0.3873 0.2254
Te 0.6127 0.6127 0.7746
Tl 0.7500 0.2500 0.5000

---

Entry 3:
A plane-wave DFT calculation with PBE was carried out for crystalline LiW2Se at its relaxed geometry.

Summary:
Crystal system: monoclinic
M_tot in μB per cell: 0.0
Energy relative to the elements, uncorrected in eV/atom: 0.41
Fermi-level density of states in states/eV/cell: 2.90

Lattice parameters (Å, degrees): 5.0549 5.0549 4.3930 78.43 78.43 35.62
Fractional coordinates of all 4 atoms:
Se 0.2500 0.2500 0.2500
Li 0.7500 0.7500 0.7500
W 0.9872 0.9872 0.0056
W 0.5128 0.5128 0.4944

---

Entry 4:
A plane-wave DFT calculation with PBE was carried out for crystalline BiMoP2S at its relaxed geometry.

Summary:
Crystal system: tetragonal
M_tot in μB per cell: 2.4
Energy relative to the elements, uncorrected in eV/atom: 1.64
Fermi-level density of states in states/eV/cell: 4.22
Energy above the most stable polymorph in this dataset in meV/atom: 1296.0

Lattice parameters (Å, degrees): 5.1985 5.1985 5.1389 90.00 90.00 90.00
Fractional coordinates of all 5 atoms:
P 0.0000 0.5000 0.0000
Bi 0.0000 0.0000 0.0000
Mo 0.5000 0.5000 0.5000
S 0.0000 0.0000 0.5000
P 0.5000 0.0000 0.0000

---

Entry 5:
A plane-wave DFT calculation with PBE was carried out for crystalline Ba12Ga3N5 at its relaxed geometry.

Summary:
Crystal system: cubic
M_tot in μB per cell: 23.5
Energy relative to the elements, uncorrected in eV/atom: -0.23
Fermi-level density of states in states/eV/cell: 47.06

Lattice parameters (Å, degrees): 15.5437 15.5437 15.5437 109.47 109.47 109.47
Fractional coordinates of all 80 atoms:
N 0.6250 0.8750 0.2500
N 0.0000 0.0000 0.0000
Ga 0.3750 0.7500 0.6250
Ba 0.1993 0.5175 0.6173
Ba 0.5175 0.1993 0.1173
N 0.2500 0.8750 0.1250
Ga 0.7500 0.8750 0.6250
Ba 0.0821 0.1818 0.1993
Ba 0.9825 0.3827 0.3007
Ba 0.0998 0.1818 0.4825
Ba 0.9002 0.0821 0.8827
Ba 0.4179 0.3007 0.3182
Ba 0.4179 0.1173 0.5998
Ba 0.4002 0.3827 0.5821
N 0.0000 0.5000 0.0000
Ba 0.9179 0.0998 0.6173
Ba 0.8007 0.3182 0.9179
Ba 0.8827 0.3007 0.4825
Ba 0.8182 0.9002 0.0175
Ga 0.8750 0.1250 0.2500
Ba 0.6173 0.0175 0.1993
Ba 0.8827 0.5821 0.9002
Ba 0.8182 0.9179 0.3007
Ba 0.4002 0.0175 0.3182
Ba 0.5998 0.9825 0.6818
N 0.5000 0.0000 0.5000
N 0.8750 0.2500 0.6250
Ba 0.3827 0.9825 0.8007
N 0.7500 0.6250 0.3750
Ba 0.0998 0.9179 0.1173
N 0.2500 0.3750 0.6250
Ga 0.6250 0.3750 0.7500
Ga 0.8750 0.7500 0.1250
Ba 0.9825 0.5998 0.1818
N 0.5000 0.0000 0.0000
Ga 0.3750 0.6250 0.2500
Ba 0.3182 0.8007 0.4179
Ba 0.1818 0.0821 0.6993
Ga 0.1250 0.8750 0.7500
Ga 0.2500 0.6250 0.8750
Ba 0.3007 0.8827 0.9825
N 0.1250 0.3750 0.2500
Ba 0.1818 0.0998 0.9825
Ga 0.2500 0.1250 0.3750
N 0.0000 0.0000 0.5000
Ba 0.5821 0.6993 0.6818
Ba 0.4825 0.6818 0.0998
Ba 0.4825 0.8007 0.8827
Ba 0.3827 0.4002 0.0821
N 0.5000 0.5000 0.5000
N 0.1250 0.7500 0.3750
Ba 0.0821 0.9002 0.3827
Ba 0.5821 0.8827 0.4002
N 0.0000 0.5000 0.5000
N 0.6250 0.7500 0.8750
Ba 0.6993 0.5821 0.1818
Ba 0.6173 0.5998 0.9179
Ba 0.0175 0.4002 0.8182
Ba 0.5998 0.6173 0.4179
N 0.8750 0.6250 0.7500
Ba 0.9002 0.8182 0.5175
Ba 0.3182 0.5175 0.4002
Ba 0.0175 0.6173 0.6993
Ga 0.6250 0.2500 0.3750
N 0.7500 0.1250 0.8750
Ba 0.5175 0.3182 0.9002
Ba 0.6993 0.1173 0.0175
N 0.3750 0.1250 0.7500
N 0.5000 0.5000 0.0000
Ba 0.1173 0.4179 0.0998
Ba 0.3007 0.4179 0.8182
Ba 0.1173 0.6993 0.5175
Ba 0.8007 0.4825 0.3827
Ga 0.1250 0.2500 0.8750
Ga 0.7500 0.3750 0.1250
Ba 0.6818 0.1993 0.5821
Ba 0.6818 0.4825 0.5998
Ba 0.1993 0.6818 0.0821
Ba 0.9179 0.8182 0.8007
N 0.3750 0.2500 0.1250

---

Entry 6:
A plane-wave DFT calculation with PBE was carried out for crystalline Ho6Al43V4 at its relaxed geometry.

Summary:
Crystal system: hexagonal
M_tot in μB per cell: 0.0
Fermi-level density of states in states/eV/cell: 37.41
Formation energy from the elements in eV per atom: -0.3136

Lattice parameters (Å, degrees): 10.9739 10.9739 17.6199 90.00 90.00 120.00
Fractional coordinates of all 106 atoms:
Ho 0.0000 0.5290 0.5959
Al 0.2521 0.0000 0.9709
Al 0.7479 0.0000 0.4709
Al 0.1589 0.3926 0.6648
Al 0.8411 0.2337 0.6648
V 0.7310 0.7310 0.2500
Al 0.1450 0.5484 0.2500
Al 0.0000 0.2521 0.5291
Al 0.4034 0.5484 0.7500
Al 0.2337 0.3926 0.3352
V 0.0000 0.2690 0.2500
Al 0.0000 0.8440 0.8844
Al 0.6667 0.3333 0.1265
Al 0.0000 0.2521 0.9709
V 0.2690 0.0000 0.2500
Al 0.1589 0.7663 0.3352
Al 0.5966 0.4516 0.2500
Al 0.7663 0.6074 0.6648
V 0.0000 0.7310 0.7500
Ho 0.4710 0.4710 0.5959
Al 0.2467 0.7533 0.5000
Ho 0.0000 0.4710 0.4041
Al 0.2521 0.2521 0.4709
Al 0.7533 0.5065 0.0000
Ho 0.4710 0.0000 0.0959
Ho 0.4710 0.0000 0.4041
Al 0.7479 0.7479 0.9709
Al 0.8537 0.8537 0.7500
Al 0.6074 0.7663 0.6648
Al 0.1560 0.0000 0.3844
Al 0.2467 0.4935 0.5000
Al 0.5065 0.7533 0.0000
Ho 0.5290 0.0000 0.5959
Al 0.6074 0.8411 0.1648
Al 0.7663 0.1589 0.3352
Al 0.3333 0.6667 0.6265
Al 0.8411 0.6074 0.3352
Al 0.4516 0.5966 0.2500
Al 0.2337 0.8411 0.8352
Al 0.2337 0.3926 0.1648
Al 0.3926 0.1589 0.8352
Al 0.6667 0.3333 0.8735
Ho 0.5290 0.5290 0.0959
Al 0.1589 0.7663 0.1648
Ho 0.5290 0.5290 0.4041
Al 0.6667 0.3333 0.6265
Al 0.5484 0.1450 0.2500
Al 0.8440 0.8440 0.3844
Al 0.0000 0.1560 0.1156
Al 0.3926 0.1589 0.6648
V 0.0000 0.0000 0.5000
Al 0.4516 0.8550 0.7500
Al 0.5065 0.7533 0.5000
Al 0.7479 0.0000 0.0291
Al 0.4935 0.2467 0.5000
Al 0.1560 0.0000 0.1156
Al 0.6667 0.3333 0.3735
Ho 0.0000 0.5290 0.9041
V 0.2690 0.2690 0.7500
Al 0.8440 0.0000 0.8844
Al 0.1450 0.5966 0.7500
Al 0.1560 0.1560 0.6156
Al 0.1463 0.1463 0.2500
Al 0.4034 0.8550 0.2500
Al 0.5484 0.4034 0.7500
Al 0.1560 0.1560 0.8844
Al 0.0000 0.7479 0.0291
Al 0.6074 0.7663 0.8352
Al 0.3926 0.2337 0.3352
Al 0.7479 0.7479 0.5291
Al 0.2467 0.7533 0.0000
Al 0.7533 0.2467 0.5000
Al 0.3333 0.6667 0.1265
Al 0.1463 0.0000 0.7500
Al 0.8550 0.4516 0.7500
Al 0.0000 0.7479 0.4709
Al 0.8440 0.8440 0.1156
Al 0.8550 0.4034 0.2500
Al 0.7533 0.2467 0.0000
Al 0.5966 0.1450 0.7500
V 0.7310 0.0000 0.7500
Al 0.3333 0.6667 0.3735
V 0.0000 0.0000 0.0000
Al 0.8440 0.0000 0.6156
Al 0.0000 0.8537 0.2500
Ho 0.4710 0.4710 0.9041
Al 0.0000 0.8440 0.6156
Al 0.8537 0.0000 0.2500
Al 0.3926 0.2337 0.1648
Al 0.8411 0.2337 0.8352
Al 0.2337 0.8411 0.6648
Ho 0.0000 0.4710 0.0959
Al 0.2521 0.2521 0.0291
Al 0.7663 0.6074 0.8352
Al 0.2467 0.4935 0.0000
Al 0.8411 0.6074 0.1648
Ho 0.5290 0.0000 0.9041
Al 0.6074 0.8411 0.3352
Al 0.2521 0.0000 0.5291
Al 0.7533 0.5065 0.5000
Al 0.0000 0.1463 0.7500
Al 0.1589 0.3926 0.8352
Al 0.3333 0.6667 0.8735
Al 0.0000 0.1560 0.3844
Al 0.4935 0.2467 0.0000
Al 0.7663 0.1589 0.1648

---

Repeat the fifth record exactly.
A plane-wave DFT calculation with PBE was carried out for crystalline Ba12Ga3N5 at its relaxed geometry.

Summary:
Crystal system: cubic
M_tot in μB per cell: 23.5
Energy relative to the elements, uncorrected in eV/atom: -0.23
Fermi-level density of states in states/eV/cell: 47.06

Lattice parameters (Å, degrees): 15.5437 15.5437 15.5437 109.47 109.47 109.47
Fractional coordinates of all 80 atoms:
N 0.6250 0.8750 0.2500
N 0.0000 0.0000 0.0000
Ga 0.3750 0.7500 0.6250
Ba 0.1993 0.5175 0.6173
Ba 0.5175 0.1993 0.1173
N 0.2500 0.8750 0.1250
Ga 0.7500 0.8750 0.6250
Ba 0.0821 0.1818 0.1993
Ba 0.9825 0.3827 0.3007
Ba 0.0998 0.1818 0.4825
Ba 0.9002 0.0821 0.8827
Ba 0.4179 0.3007 0.3182
Ba 0.4179 0.1173 0.5998
Ba 0.4002 0.3827 0.5821
N 0.0000 0.5000 0.0000
Ba 0.9179 0.0998 0.6173
Ba 0.8007 0.3182 0.9179
Ba 0.8827 0.3007 0.4825
Ba 0.8182 0.9002 0.0175
Ga 0.8750 0.1250 0.2500
Ba 0.6173 0.0175 0.1993
Ba 0.8827 0.5821 0.9002
Ba 0.8182 0.9179 0.3007
Ba 0.4002 0.0175 0.3182
Ba 0.5998 0.9825 0.6818
N 0.5000 0.0000 0.5000
N 0.8750 0.2500 0.6250
Ba 0.3827 0.9825 0.8007
N 0.7500 0.6250 0.3750
Ba 0.0998 0.9179 0.1173
N 0.2500 0.3750 0.6250
Ga 0.6250 0.3750 0.7500
Ga 0.8750 0.7500 0.1250
Ba 0.9825 0.5998 0.1818
N 0.5000 0.0000 0.0000
Ga 0.3750 0.6250 0.2500
Ba 0.3182 0.8007 0.4179
Ba 0.1818 0.0821 0.6993
Ga 0.1250 0.8750 0.7500
Ga 0.2500 0.6250 0.8750
Ba 0.3007 0.8827 0.9825
N 0.1250 0.3750 0.2500
Ba 0.1818 0.0998 0.9825
Ga 0.2500 0.1250 0.3750
N 0.0000 0.0000 0.5000
Ba 0.5821 0.6993 0.6818
Ba 0.4825 0.6818 0.0998
Ba 0.4825 0.8007 0.8827
Ba 0.3827 0.4002 0.0821
N 0.5000 0.5000 0.5000
N 0.1250 0.7500 0.3750
Ba 0.0821 0.9002 0.3827
Ba 0.5821 0.8827 0.4002
N 0.0000 0.5000 0.5000
N 0.6250 0.7500 0.8750
Ba 0.6993 0.5821 0.1818
Ba 0.6173 0.5998 0.9179
Ba 0.0175 0.4002 0.8182
Ba 0.5998 0.6173 0.4179
N 0.8750 0.6250 0.7500
Ba 0.9002 0.8182 0.5175
Ba 0.3182 0.5175 0.4002
Ba 0.0175 0.6173 0.6993
Ga 0.6250 0.2500 0.3750
N 0.7500 0.1250 0.8750
Ba 0.5175 0.3182 0.9002
Ba 0.6993 0.1173 0.0175
N 0.3750 0.1250 0.7500
N 0.5000 0.5000 0.0000
Ba 0.1173 0.4179 0.0998
Ba 0.3007 0.4179 0.8182
Ba 0.1173 0.6993 0.5175
Ba 0.8007 0.4825 0.3827
Ga 0.1250 0.2500 0.8750
Ga 0.7500 0.3750 0.1250
Ba 0.6818 0.1993 0.5821
Ba 0.6818 0.4825 0.5998
Ba 0.1993 0.6818 0.0821
Ba 0.9179 0.8182 0.8007
N 0.3750 0.2500 0.1250

---

- Which of these has the highest M_tot?
  Ba12Ga3N5

---

- The lowest Fermi-level density of states belongs to which entry?
  Tl2ZnTe2

---

- Which of these has the highest M_tot?
  Ba12Ga3N5